(1)
# Zr3Tc, relaxed, DFT PBE
data_Zr3Tc
_symmetry_space_group_name_H-M 'P 4/m m m'
_symmetry_Int_Tables_number 123
_symmetry_space_group_name_Hall '-P 4 2'
_cell_length_a 4.838
_cell_length_b 4.838
_cell_length_c 3.423
_cell_angle_alpha 90.00
_cell_angle_beta 90.00
_cell_angle_gamma 90.00
loop_
_atom_site_label
_atom_site_type_symbol
_atom_site_fract_x
_atom_site_fract_y
_atom_site_fract_z
Zr1 Zr 0.000 0.000 0.000
Zr2 Zr 0.000 0.500 0.500
Tc1 Tc 0.500 0.500 0.000
# uncorrected energy: -36.168 eV per cell
# density of states at the Fermi level: 5.46 states/eV per cell
# calculated volume: 20.03 A^3/atom
# density: 7.70 g/cm³

(2)
# Zr3Tc, relaxed, DFT PBE
data_Zr3Tc
_symmetry_space_group_name_H-M 'P m m 2'
_symmetry_Int_Tables_number 25
_cell_length_a 3.126
_cell_length_b 3.230
_cell_length_c 8.856
_cell_angle_alpha 90.00
_cell_angle_beta 90.00
_cell_angle_gamma 90.00
loop_
_symmetry_equiv_pos_as_xyz
'x,y,z'
'-x,-y,z'
'-x,y,z'
'x,-y,z'
loop_
_atom_site_label
_atom_site_type_symbol
_atom_site_fract_x
_atom_site_fract_y
_atom_site_fract_z
Zr1 Zr 0.000 0.000 0.000
Zr2 Zr 0.000 0.500 0.331
Zr3 Zr 0.500 0.500 0.748
Tc1 Tc 0.500 0.000 0.508
# uncorrected energy: -35.037 eV per cell
# density of states at the Fermi level: 4.70 states/eV per cell
# calculated volume: 22.36 A^3/atom
# density: 6.90 g/cm³

(3)
# Zr3Tc, relaxed, DFT PBE
data_Zr3Tc
_symmetry_space_group_name_H-M 'P m -3 m'
_symmetry_Int_Tables_number 221
_symmetry_space_group_name_Hall '-P 4 2 3'
_cell_length_a 5.093
_cell_length_b 5.093
_cell_length_c 5.093
_cell_angle_alpha 90.00
_cell_angle_beta 90.00
_cell_angle_gamma 90.00
loop_
_atom_site_label
_atom_site_type_symbol
_atom_site_fract_x
_atom_site_fract_y
_atom_site_fract_z
Zr1 Zr 0.000 0.000 0.500
Tc1 Tc 0.000 0.000 0.000
# uncorrected energy: -32.072 eV per cell
# density of states at the Fermi level: 6.59 states/eV per cell
# calculated volume: 33.03 A^3/atom
# density: 4.67 g/cm³

(4)
# Zr3Tc5, relaxed, DFT PBE
data_Zr3Tc5
_symmetry_space_group_name_H-M 'P 63/m c m'
_symmetry_Int_Tables_number 193
_symmetry_space_group_name_Hall '-P 6c 2'
_cell_length_a 7.9989
_cell_length_b 7.9989
_cell_length_c 5.1591
_cell_angle_alpha 90.00
_cell_angle_beta 90.00
_cell_angle_gamma 120.00
loop_
_atom_site_label
_atom_site_type_symbol
_atom_site_fract_x
_atom_site_fract_y
_atom_site_fract_z
Zr1 Zr 0.0000 0.3862 0.2500
Tc1 Tc 0.0000 0.1966 0.7500
Tc2 Tc 0.3333 0.6667 0.0000
# excess energy over the best structure of this formula in the dataset: 0.402 eV per atom
# uncorrected energy: -152.443 eV per cell
# density of states at the Fermi level: 18.63 states/eV per cell
# calculated volume: 17.87 A^3/atom
# density: 8.87 g/cm³

(5)
# Zr5Tc, relaxed, DFT PBE
data_Zr5Tc
_symmetry_space_group_name_H-M 'C m m m'
_symmetry_Int_Tables_number 65
_symmetry_space_group_name_Hall '-C 2 2'
_cell_length_a 4.924
_cell_length_b 10.358
_cell_length_c 4.933
_cell_angle_alpha 90.00
_cell_angle_beta 90.00
_cell_angle_gamma 90.00
loop_
_atom_site_label
_atom_site_type_symbol
_atom_site_fract_x
_atom_site_fract_y
_atom_site_fract_z
Zr1 Zr 0.000 0.000 0.000
Zr2 Zr 0.000 0.153 0.500
Zr3 Zr 0.000 0.343 0.000
Tc1 Tc 0.000 0.500 0.500
# excess energy over the best structure of this formula in the dataset: 0.101 eV per atom
# uncorrected energy: -106.544 eV per cell
# density of states at the Fermi level: 18.54 states/eV per cell
# calculated volume: 20.97 A^3/atom
# density: 7.31 g/cm³

(6)
# ZrTc6, relaxed, DFT PBE
data_ZrTc6
_symmetry_space_group_name_H-M 'P n m a'
_symmetry_Int_Tables_number 62
_cell_length_a 8.397
_cell_length_b 5.086
_cell_length_c 10.707
_cell_angle_alpha 90.00
_cell_angle_beta 90.00
_cell_angle_gamma 90.00
loop_
_symmetry_equiv_pos_as_xyz
'x,y,z'
'-x,-y,-z'
'-x+1/2,-y,z+1/2'
'x+1/2,y,-z+1/2'
'x+1/2,-y+1/2,-z+1/2'
'-x+1/2,y+1/2,z+1/2'
'-x,y+1/2,-z'
'x,-y+1/2,z'
loop_
_atom_site_label
_atom_site_type_symbol
_atom_site_fract_x
_atom_site_fract_y
_atom_site_fract_z
Zr1 Zr 0.231 0.250 0.056
Tc1 Tc 0.070 0.750 0.075
Tc2 Tc 0.071 0.010 0.306
Tc3 Tc 0.081 0.250 0.523
Tc4 Tc 0.137 0.750 0.850
Tc5 Tc 0.185 0.250 0.757
# excess energy over the best structure of this formula in the dataset: 0.000 eV per atom
# uncorrected energy: -283.492 eV per cell
# density of states at the Fermi level: 23.19 states/eV per cell
# calculated volume: 16.33 A^3/atom
# density: 9.87 g/cm³

Question: Among the records above, which one has the lowest calculated volume?
Answer: ZrTc6

Question: Among the records above, which one has the lowest uncorrected energy?
Answer: ZrTc6

Question: Look up the uncorrected energy of the fourth one.
Answer: -152.443 eV per cell

Please write out number 4 again, unchanged.
# Zr3Tc5, relaxed, DFT PBE
data_Zr3Tc5
_symmetry_space_group_name_H-M 'P 63/m c m'
_symmetry_Int_Tables_number 193
_symmetry_space_group_name_Hall '-P 6c 2'
_cell_length_a 7.9989
_cell_length_b 7.9989
_cell_length_c 5.1591
_cell_angle_alpha 90.00
_cell_angle_beta 90.00
_cell_angle_gamma 120.00
loop_
_atom_site_label
_atom_site_type_symbol
_atom_site_fract_x
_atom_site_fract_y
_atom_site_fract_z
Zr1 Zr 0.0000 0.3862 0.2500
Tc1 Tc 0.0000 0.1966 0.7500
Tc2 Tc 0.3333 0.6667 0.0000
# excess energy over the best structure of this formula in the dataset: 0.402 eV per atom
# uncorrected energy: -152.443 eV per cell
# density of states at the Fermi level: 18.63 states/eV per cell
# calculated volume: 17.87 A^3/atom
# density: 8.87 g/cm³